Entry 1:
Crystalline AlHgMo2O8 at its relaxed geometry. Source: Alexandria, functional PBE+U.

Crystal system: trigonal
Magnetization (μB per formula unit): 0.00
E_tot (eV/atom): -6.43
Symmetry: R-3

Unit cell a=5.2237 b=5.2237 c=8.8669 alpha=72.87 beta=72.87 gamma=60.00
Last column: nearest neighbours and their distance in Å.
Sites, in units of the cell vectors:
O: 0.8066 0.8066 0.5802  1 Mo 1.79
O: 0.6412 0.2235 0.1350  1 Mo 1.80, 1 Al 1.90
O: 0.1934 0.1934 0.4198  1 Mo 1.79
O: 0.2235 0.0003 0.1350  1 Mo 1.80, 1 Al 1.90
O: 0.7765 0.9997 0.8650  1 Mo 1.80, 1 Al 1.90
O: 0.0003 0.6412 0.1350  1 Mo 1.80, 1 Al 1.90
O: 0.9997 0.3588 0.8650  1 Mo 1.80, 1 Al 1.90
O: 0.3588 0.7765 0.8650  1 Mo 1.80, 1 Al 1.90
Hg: 0.5000 0.5000 0.5000  6 O 3.09
Mo: 0.2648 0.2648 0.2055  4 O 1.79-1.80
Mo: 0.7352 0.7352 0.7945  4 O 1.79-1.80
Al: 0.0000 0.0000 0.0000  6 O 1.90

Entry 2:
Crystalline AlHg2MoO at its relaxed geometry. Source: Alexandria, functional PBE+U.

Crystal system: tetragonal
Magnetization (μB per formula unit): 3.53
E_tot (eV/atom): -2.28
Symmetry: P4/mmm

Unit cell a=5.0762 b=5.4156 c=5.0762 alpha=90.00 beta=90.00 gamma=90.00
Last column: nearest neighbours and their distance in Å.
Sites, in units of the cell vectors:
Mo: 0.0000 0.5000 0.0000  2 Al 2.71
Al: 0.0000 0.0000 0.0000  4 Hg 2.54, 2 Mo 2.71
Hg: 0.5000 0.0000 0.0000  2 Al 2.54
Hg: 0.0000 0.0000 0.5000  2 Al 2.54
O: 0.5000 0.5000 0.5000  4 Mo 3.59, 8 Hg 3.71

Entry 3:
Crystalline Al2HgMoO8 at its relaxed geometry. Source: Alexandria, functional PBE+U.

Crystal system: triclinic
Magnetization (μB per formula unit): 0.00
E_tot (eV/atom): -6.14
Symmetry: P-1

Unit cell a=4.6315 b=4.6272 c=6.2261 alpha=87.73 beta=92.25 gamma=91.73
Last column: nearest neighbours and their distance in Å.
Sites, in units of the cell vectors:
O: 0.7780 0.2234 0.8057  1 Mo 1.86, 1 Al 1.89
O: 0.7995 0.2015 0.2297  1 Al 1.96, 1 Mo 2.01, 1 Hg 2.09
O: 0.2005 0.7985 0.7703  1 Al 1.96, 1 Mo 2.01, 1 Hg 2.09
O: 0.3064 0.3054 0.0000  2 Al 1.97, 1 Mo 1.97
O: 0.2220 0.7766 0.1943  1 Mo 1.86, 1 Al 1.89
O: 0.3319 0.3303 0.5001  2 Al 1.93, 1 Hg 2.13
O: 0.6681 0.6697 0.4999  2 Al 1.93, 1 Hg 2.13
O: 0.6936 0.6946 0.0000  2 Al 1.97, 1 Mo 1.97
Al: 0.5056 0.4944 0.2441  6 O 1.89-1.97
Al: 0.4944 0.5056 0.7559  6 O 1.89-1.97
Mo: 0.0000 0.0000 0.0000  6 O 1.86-2.01
Hg: 0.0000 0.0000 0.5000  4 O 2.09-2.13

Entry 4:
Crystalline AlHgMoO6 at its relaxed geometry. Source: Alexandria, functional PBE+U.

Crystal system: monoclinic
Magnetization (μB per formula unit): 0.00
E_tot (eV/atom): -5.99
Symmetry: C2

Unit cell a=5.3325 b=5.1053 c=4.8260 alpha=94.08 beta=97.82 gamma=58.52
Last column: nearest neighbours and their distance in Å.
Sites, in units of the cell vectors:
O: 0.3503 0.6425 0.2957  1 Al 1.89, 1 Mo 2.03
O: 0.0071 0.6425 0.7043  1 Al 1.89, 1 Mo 2.03
O: 0.4094 0.0020 0.7264  1 Mo 1.84, 1 Al 1.94
O: 0.5886 0.0020 0.2736  1 Mo 1.84, 1 Al 1.94
O: 0.6544 0.3703 0.7146  1 Al 1.91, 1 Mo 1.98
O: 0.9753 0.3703 0.2854  1 Al 1.91, 1 Mo 1.98
Mo: 0.3434 0.3132 0.5000  6 O 1.84-2.03
Hg: 0.0023 0.9953 0.0000  4 O 2.21-2.23
Al: 0.6690 0.6620 0.5000  6 O 1.89-1.94